Density functional theory data (PBE) for ZnAg2AsPt after structural relaxation.

Lattice parameters (Å, degrees): 5.302 4.528 5.302 90.00 90.00 90.00
Fractional coordinates of all 5 atoms:
Ag  0.000  0.000  0.500
Pt  0.000  0.000  0.000
Ag  0.500  0.000  0.000
As  0.000  0.500  0.000
Zn  0.500  0.500  0.500

Results
Formation energy from the elements, eV per atom: 0.41
Raw total energy, eV per atom: -3.126
Density of states at the Fermi level, states/eV per cell: 2.2
Symmetry: P4/mmm

=====

Density functional theory data (PBE) for ZrAg2AsPt after structural relaxation.

Lattice parameters (Å, degrees): 5.028 4.970 5.028 90.00 90.00 90.00
Fractional coordinates of all 5 atoms:
Zr  0.000  0.500  0.000
Pt  0.000  0.000  0.000
Ag  0.500  0.000  0.000
As  0.500  0.500  0.500
Ag  0.000  0.000  0.500

Results
Formation energy from the elements, eV per atom: 0.51
Raw total energy, eV per atom: -4.475
Density of states at the Fermi level, states/eV per cell: 2.7
Symmetry: P4/mmm

=====

Density functional theory data (PBE) for PuAg2AsS4 after structural relaxation.

Lattice parameters (Å, degrees): 7.895 7.895 8.121 120.96 120.96 78.15
Each line ends with the local moment (μB).
Fractional coordinates of all 16 atoms:
Ag  0.410  0.911  0.411  -0.02
Ag  0.893  0.948  0.420  -0.01
S  0.216  0.751  0.484  -0.08
As  0.939  0.005  0.972  0.03
Ag  0.411  0.910  0.911  -0.02
S  0.333  0.270  0.513  -0.03
Ag  0.448  0.393  0.921  -0.01
S  0.333  0.269  0.090  -0.03
S  0.251  0.716  0.984  -0.08
Pu  0.035  0.535  0.035  5.06
S  0.818  0.333  0.076  -0.07
S  0.833  0.318  0.576  -0.07
Pu  0.035  0.535  0.535  5.06
S  0.770  0.833  0.012  -0.03
S  0.769  0.833  0.590  -0.03
As  0.505  0.439  0.472  0.03

Results
Formation energy from raw total energies, eV per atom: -0.551
Raw total energy, eV per atom: -5.701
Density of states at the Fermi level, states/eV per cell: 18.9
Symmetry: Ima2

=====

Density functional theory data (PBE) for Rb2AgAs2 after structural relaxation.

Lattice parameters (Å, degrees): 3.892 3.892 11.113 79.92 79.92 90.00
Fractional coordinates of all 5 atoms:
As  0.750  0.250  0.500
Ag  0.000  0.000  0.000
Rb  0.610  0.610  0.780
As  0.250  0.750  0.500
Rb  0.390  0.390  0.220

Results
ΔE to the lowest computed polymorph, eV per atom: 0.164
Formation energy from the elements, eV per atom: -0.02
Raw total energy, eV per atom: -2.834
Density of states at the Fermi level, states/eV per cell: 1.8
Symmetry: I4/mmm